The following is a DFT calculation (GGA-PBE) of KHf2ScC after structural relaxation.

a b c (Å): 5.319 4.427 5.319
angles (deg): 90.00 90.00 90.00
Fractional positions:
1 K 0.500 0.500 0.500
2 Hf 0.000 0.000 0.500
3 Hf 0.500 0.000 0.000
4 Sc 0.000 0.000 0.000
5 C 0.000 0.500 0.000

Calculated values
Energy of formation: 1.793 eV per atom
SG: P4/mmm, No. 123
Magnetization: 0.00 μB per cell

=====

The following is a DFT calculation (GGA-PBE) of ZrSI2O after structural relaxation.

a b c (Å): 5.778 4.837 5.778
angles (deg): 90.00 90.00 90.00
Fractional positions:
1 S 0.000 0.500 0.000
2 I 0.000 0.000 0.500
3 I 0.500 0.000 0.000
4 Zr 0.000 0.000 0.000
5 O 0.500 0.500 0.500

Calculated values
Electronic total energy: -4.035 eV per atom
SG: P4/mmm, No. 123
Magnetization: 0.00 μB per cell

=====

The following is a DFT calculation (GGA-PBE) of Cs2CaNiCl6 after structural relaxation.

a b c (Å): 7.354 7.354 7.354
angles (deg): 60.00 60.00 90.00
Fractional positions:
1 Cl 0.235 0.235 0.529
2 Cl 0.236 0.764 0.000
3 Cl 0.764 0.236 0.000
4 Cl 0.764 0.764 0.000
5 Cl 0.765 0.765 0.471
6 Cl 0.236 0.236 0.000
7 Cs 0.250 0.750 0.500
8 Cs 0.750 0.250 0.500
9 Ca 0.500 0.500 0.000
10 Ni 0.000 0.000 0.000

Calculated values
Electronic total energy: -3.740 eV per atom
SG: Fm-3m, No. 225
Magnetization: 2.00 μB per cell

=====

The following is a DFT calculation (GGA-PBE) of ScAlAgPb after structural relaxation.

a b c (Å): 3.525 3.525 6.919
angles (deg): 90.00 90.00 90.00
Fractional positions:
1 Sc 0.500 0.500 0.976
2 Ag 0.000 0.000 0.233
3 Al 0.500 0.500 0.416
4 Pb 0.000 0.000 0.695

Calculated values
Energy of formation: -0.072 eV per atom
SG: P4mm, No. 99
Magnetization: 0.00 μB per cell